TiRu2Rh2 (PBE, relaxed); raw total energy = -8.213 eV/atom; density = 9.90 g/cm3
1.0
-2.603 5.538 -1.989
-5.876 -2.333 1.196
0.177 1.321 3.447
Ru Rh Ti
4 4 2
Direct
0.364 0.864 0.000
0.864 0.636 0.000
0.636 0.136 0.000
0.136 0.364 0.000
0.163 0.663 0.500
0.663 0.837 0.500
0.837 0.337 0.500
0.337 0.163 0.500
0.000 0.000 0.000
0.500 0.500 0.000

LiTc4Ag (PBE, relaxed); raw total energy = -7.176 eV/atom; density = 8.69 g/cm3
1.0
-3.927 3.195 0.974
-1.840 3.036 -3.738
-4.647 -0.935 -2.026
Li Tc Ag
1 4 1
Direct
0.000 0.000 0.000
0.875 0.375 0.375
0.375 0.375 0.875
0.375 0.875 0.375
0.375 0.375 0.375
0.750 0.750 0.750

Ce5HoIn2 (PBE, relaxed); raw total energy = -5.169 eV/atom; density = 8.32 g/cm3
1.0
4.631 0.000 0.000
0.000 6.860 0.000
0.000 0.000 13.760
Ce Ho In
10 2 4
Direct
0.000 0.000 0.000
0.000 0.500 0.500
0.000 0.536 0.732
0.000 0.464 0.268
0.000 0.964 0.232
0.000 0.036 0.768
0.500 0.228 0.861
0.500 0.772 0.139
0.500 0.272 0.361
0.500 0.728 0.639
0.000 0.000 0.500
0.000 0.500 0.000
0.500 0.237 0.617
0.500 0.763 0.383
0.500 0.263 0.117
0.500 0.737 0.883

Na2AlSb (PBE, relaxed); E above lowest polymorph = 0.0000 eV/atom; density = 3.18 g/cm3
1.0
0.000 3.704 3.704
3.704 0.000 3.704
3.704 3.704 0.000
Sb Al Na
1 1 2
Direct
0.500 0.500 0.500
0.000 0.000 0.000
0.250 0.250 0.250
0.750 0.750 0.750

Ag3BiS3 (PBE, relaxed); raw total energy = -3.647 eV/atom; density = 6.48 g/cm3
1.0
-6.955 -2.292 0.353
-1.512 -6.773 2.366
-3.273 -0.653 7.399
Ag Bi S
6 2 6
Direct
0.442 0.803 0.621
0.803 0.133 0.621
0.133 0.442 0.621
0.867 0.558 0.379
0.197 0.867 0.379
0.558 0.197 0.379
0.333 0.333 0.000
0.667 0.667 0.000
0.273 0.566 0.230
0.931 0.273 0.230
0.566 0.931 0.230
0.434 0.069 0.770
0.069 0.727 0.770
0.727 0.434 0.770

PtS3Cl (PBE, relaxed); E above lowest polymorph = 1.6957 eV/atom; density = 5.66 g/cm3
1.0
4.576 0.000 0.000
0.000 4.576 0.000
0.000 0.000 4.576
S Pt Cl
3 1 1
Direct
0.000 0.500 0.000
0.000 0.000 0.500
0.500 0.000 0.000
0.500 0.500 0.500
0.000 0.000 0.000